No. 1
YZn2Ag: single point on PBEsol structure, SCAN.

Final energy, eV/atom: -21.8729
Space-group type: F-43m (216)
Calculated formation energy, eV/atom: -0.3128
Total magnetic moment, μB per atom: 0.00

abc: 4.671 4.671 4.671
angles: 60.00 60.00 60.00
Element x y z (fractional)
Y: 0.000 0.000 0.000
Zn: 0.250 0.250 0.250
Zn: 0.500 0.500 0.500
Ag: 0.750 0.750 0.750

No. 2
Y2ZnAg: single point on PBEsol structure, SCAN.

Final energy, eV/atom: -25.5827
Space-group type: P4/mmm (123)
Calculated formation energy, eV/atom: -0.4407
Total magnetic moment, μB per atom: 0.00

abc: 3.548 3.548 7.058
angles: 90.00 90.00 90.00
Element x y z (fractional)
Y: 0.000 0.000 0.243
Y: 0.000 0.000 0.757
Zn: 0.500 0.500 0.000
Ag: 0.500 0.500 0.500

No. 3
YZnAg: single point on PBEsol structure, SCAN.

Final energy, eV/atom: -24.6606
Space-group type: P-6m2 (187)
Calculated formation energy, eV/atom: -0.4189
Total magnetic moment, μB per atom: 0.00

abc: 4.512 4.512 3.437
angles: 90.00 90.00 120.00
Element x y z (fractional)
Y: 0.000 0.000 0.000
Zn: 0.333 0.667 0.500
Ag: 0.667 0.333 0.500

No. 4
YZn4Ag: single point on PBEsol structure, SCAN.

Final energy, eV/atom: -19.1178
Space-group type: F-43m (216)
Calculated formation energy, eV/atom: -0.2393
Total magnetic moment, μB per atom: 0.00

abc: 5.205 5.205 5.205
angles: 60.00 60.00 60.00
Element x y z (fractional)
Y: 0.000 0.000 0.000
Zn: 0.375 0.375 0.375
Zn: 0.375 0.375 0.875
Zn: 0.375 0.875 0.375
Zn: 0.875 0.375 0.375
Ag: 0.750 0.750 0.750

No. 5
YZn2Ag: single point on PBEsol structure, SCAN.

Final energy, eV/atom: -21.7458
Space-group type: P4mm (99)
Calculated formation energy, eV/atom: -0.1857
Total magnetic moment, μB per atom: 0.00

abc: 3.278 3.278 6.789
angles: 90.00 90.00 90.00
Element x y z (fractional)
Y: 0.000 0.000 0.000
Zn: 0.000 0.000 0.488
Zn: 0.500 0.500 0.287
Ag: 0.500 0.500 0.701

No. 6
YZn2Ag: single point on PBEsol structure, SCAN.

Final energy, eV/atom: -21.7833
Space-group type: Amm2 (38)
Calculated formation energy, eV/atom: -0.2232
Total magnetic moment, μB per atom: 0.00

abc: 4.123 5.707 5.707
angles: 33.93 90.00 90.00
Element x y z (fractional)
Y: 0.000 0.000 0.000
Zn: 0.000 0.736 0.736
Zn: 0.500 0.614 0.614
Ag: 0.500 0.326 0.326

No. 7
YZn2Ag2: single point on PBEsol structure, SCAN.

Final energy, eV/atom: -23.8111
Space-group type: I4/mmm (139)
Calculated formation energy, eV/atom: -0.2896
Total magnetic moment, μB per atom: 0.00

abc: 6.336 6.336 6.336
angles: 142.69 142.69 53.79
Element x y z (fractional)
Y: 0.000 0.000 0.000
Zn: 0.394 0.394 0.000
Zn: 0.606 0.606 0.000
Ag: 0.250 0.750 0.500
Ag: 0.750 0.250 0.500

No. 8
YZnAg2: single point on PBEsol structure, SCAN.

Final energy, eV/atom: -26.2792
Space-group type: I-4m2 (119)
Calculated formation energy, eV/atom: -0.2561
Total magnetic moment, μB per atom: 0.00

abc: 4.883 4.883 4.883
angles: 125.18 125.18 81.24
Element x y z (fractional)
Y: 0.000 0.000 0.000
Zn: 0.750 0.250 0.500
Ag: 0.250 0.750 0.500
Ag: 0.500 0.500 0.000

No. 9
YZnAg2: single point on PBEsol structure, SCAN.

Final energy, eV/atom: -26.2073
Space-group type: P4/mmm (123)
Calculated formation energy, eV/atom: -0.1842
Total magnetic moment, μB per atom: 0.00

abc: 3.252 3.252 7.076
angles: 90.00 90.00 90.00
Element x y z (fractional)
Y: 0.000 0.000 0.000
Zn: 0.000 0.000 0.500
Ag: 0.500 0.500 0.293
Ag: 0.500 0.500 0.707

No. 10
YZr2Ag: single point on PBEsol structure, SCAN.

Energy above the lowest structure with this stoichiometry, eV/f.u.: 0.00
Final energy, eV/atom: -30.2377
Space-group type: P4mm (99)
Calculated formation energy, eV/atom: -0.0859
Total magnetic moment, μB per atom: 0.12

abc: 3.274 3.274 8.354
angles: 90.00 90.00 90.00
Element x y z (fractional)
Y: 0.000 0.000 0.000
Zr: 0.000 0.000 0.532
Zr: 0.500 0.500 0.285
Ag: 0.500 0.500 0.750

No. 11
YZr2Ag: single point on PBEsol structure, SCAN.

Energy above the lowest structure with this stoichiometry, eV/f.u.: 0.72
Final energy, eV/atom: -30.0590
Space-group type: R3m (160)
Calculated formation energy, eV/atom: 0.0929
Total magnetic moment, μB per atom: 0.00

abc: 10.115 10.115 10.115
angles: 18.42 18.42 18.42
Element x y z (fractional)
Y: 0.000 0.000 0.000
Zr: 0.506 0.506 0.506
Zr: 0.757 0.757 0.757
Ag: 0.250 0.250 0.250

No. 12
YZrAg: single point on PBEsol structure, SCAN.

Energy above the lowest structure with this stoichiometry, eV/f.u.: 0.36
Final energy, eV/atom: -29.7475
Space-group type: F-43m (216)
Calculated formation energy, eV/atom: 0.2220
Total magnetic moment, μB per atom: 0.59

abc: 4.778 4.778 4.778
angles: 60.00 60.00 60.00
Element x y z (fractional)
Y: 0.000 0.000 0.000
Zr: 0.500 0.500 0.500
Ag: 0.250 0.250 0.250